1.
VASP calculation (meta-GGA SCAN) on Mg2CuSi at its PBEsol-relaxed geometry.

Results
- Raw formation energy: 2.0 kJ/mol of atoms
- E_tot: -8.77 eV/atom

a b c (Å): 6.357 6.357 6.357
angles (deg): 90.00 90.00 90.00
Space group Fm-3m (No. 225)
One atom of each set of equivalent atoms:
1 Mg 0.250 0.250 0.250 [8 per cell]
2 Cu 0.000 0.000 0.000 [4 per cell]
3 Si 0.000 0.000 0.500 [4 per cell]



2.
VASP calculation (meta-GGA SCAN) on Mg14CuSi at its PBEsol-relaxed geometry.

Results
- Raw formation energy: 3.9 kJ/mol of atoms
- E_tot: -5.89 eV/atom

a b c (Å): 6.1678 6.1678 9.9820
angles (deg): 90.00 90.00 120.00
Space group P-6m2 (No. 187)
One atom of each set of equivalent atoms:
1 Mg 0.0000 0.0000 0.2484 [2 per cell]
2 Mg 0.1659 0.3317 0.5000 [3 per cell]
3 Mg 0.1666 0.3331 0.0000 [3 per cell]
4 Mg 0.5045 0.0089 0.2527 [6 per cell]
5 Cu 0.6667 0.3333 0.5000 [1 per cell]
6 Si 0.6667 0.3333 0.0000 [1 per cell]